No. 1
Compound: Ho2Cu4Si3Ge
Source: Alexandria via LeMat-Bulk
Functional: PBE-GGA
Structure: relaxed

space-group type = No. 115
calculated total energy = -5.148 eV/atom
M_tot = 0.00 μB/cell
volume = 160.9 Å³/f.u.

Cell: 4.014 4.014 9.985 Å, 90.00 90.00 90.00°
Fractional coordinates of all 10 atoms:
Ho 0.500 0.000 0.243
Ho 0.000 0.500 0.757
Cu 0.500 0.500 0.000
Cu 0.000 0.000 0.000
Cu 0.500 0.000 0.639
Cu 0.000 0.500 0.361
Si 0.000 0.000 0.500
Si 0.500 0.000 0.870
Si 0.000 0.500 0.130
Ge 0.500 0.500 0.500

=====

No. 2
Compound: Cu5C3
Source: Alexandria via LeMat-Bulk
Functional: PBE-GGA
Structure: relaxed

space-group type = No. 193
calculated total energy = -4.961 eV/atom
M_tot = 0.00 μB/cell
energy relative to the elements = 1.06 eV/atom
relative energy among the computed polymorphs = 0.000 kcal/mol of atoms
volume = 83.3 Å³/f.u.

Cell: 5.571 5.571 6.197 Å, 90.00 90.00 120.00°
Fractional coordinates of all 16 atoms:
C 0.602 0.000 0.250
C 0.398 0.000 0.750
C 0.000 0.602 0.250
C 0.398 0.398 0.250
C 0.602 0.602 0.750
C 0.000 0.398 0.750
Cu 0.333 0.667 0.000
Cu 0.667 0.333 0.500
Cu 0.667 0.333 0.000
Cu 0.333 0.667 0.500
Cu 0.257 0.000 0.250
Cu 0.743 0.000 0.750
Cu 0.000 0.257 0.250
Cu 0.743 0.743 0.250
Cu 0.257 0.257 0.750
Cu 0.000 0.743 0.750

=====

No. 3
Compound: AcHoTe2O
Source: Alexandria via LeMat-Bulk
Functional: PBE-GGA
Structure: relaxed

space-group type = No. 129
calculated total energy = -6.110 eV/atom
M_tot = 0.00 μB/cell
volume = 148.6 Å³/f.u.

Cell: 4.340 4.340 15.781 Å, 90.00 90.00 90.00°
Fractional coordinates of all 10 atoms:
Ac 0.500 0.000 0.579
Ac 0.000 0.500 0.421
Ho 0.500 0.000 0.120
Ho 0.000 0.500 0.880
Te 0.000 0.500 0.700
Te 0.000 0.500 0.087
Te 0.500 0.000 0.913
Te 0.500 0.000 0.300
O 0.000 0.000 0.500
O 0.500 0.500 0.500